# PuMnBi2O6 | Alexandria via LeMat-Bulk | PBE+U | relaxed
# **Total moment**: 3.00 μB/cell
# **DFT total energy**: -231.2 eV/cell
# **DOS(E_F)**: 0.8 states/eV per cell
data_PuMnBi2O6
_chemical_formula_sum 'Pu3 Mn3 Bi6 O18'
_cell_length_a 6.0375
_cell_length_b 6.0375
_cell_length_c 15.1568
_cell_angle_alpha 90.00
_cell_angle_beta 90.00
_cell_angle_gamma 120.00
_symmetry_space_group_name_H-M 'R -3'
_symmetry_Int_Tables_number 148
_symmetry_space_group_name_Hall '-R 3'
loop_
_atom_site_label
_atom_site_type_symbol
_atom_site_fract_x
_atom_site_fract_y
_atom_site_fract_z
_atom_site_occupancy
Pu1 Pu 0.0000 0.0000 0.0000 1
Mn1 Mn 0.0000 0.0000 0.5000 1
Bi1 Bi 0.0000 0.0000 0.2948 1
O1 O 0.0328 0.6102 0.2652 1